1.
The following is a DFT calculation (PBE) of a relaxed Nd3Dy5Tl2 crystal.

Output
E ... -4.12 eV/atom
Total moment ... 0.00 μB/cell
SG ... No. 72
Formation enthalpy at 0 K ... 80 meV/atom
Volume ... 654.98 Å³ per cell

Cell lengths 10.622, 10.622, 10.622 Å; angles 104.53, 86.36, 144.34 degrees
Positions (direct):
1 Nd 0.238 0.120 0.359
2 Nd 0.250 0.250 0.000
3 Nd 0.262 0.620 0.882
4 Nd 0.738 0.380 0.118
5 Nd 0.750 0.750 0.000
6 Nd 0.762 0.880 0.641
7 Dy 0.164 0.382 0.546
8 Dy 0.250 0.504 0.254
9 Dy 0.250 0.750 0.500
10 Dy 0.250 0.996 0.746
11 Dy 0.336 0.882 0.219
12 Dy 0.664 0.118 0.781
13 Dy 0.750 0.004 0.254
14 Dy 0.750 0.250 0.500
15 Dy 0.750 0.496 0.746
16 Dy 0.836 0.618 0.454
17 Tl 0.146 0.864 0.009
18 Tl 0.354 0.364 0.718
19 Tl 0.646 0.636 0.282
20 Tl 0.854 0.136 0.991

2.
The following is a DFT calculation (PBE) of a relaxed Nd4DyTl4 crystal.

Output
E ... -3.88 eV/atom
Total moment ... 0.00 μB/cell
SG ... No. 86
Formation enthalpy at 0 K ... -198 meV/atom
Volume ... 551.34 Å³ per cell

Cell lengths 9.372, 9.372, 6.277 Å; angles 90.00, 90.00, 90.00 degrees
Positions (direct):
1 Nd 0.081 0.825 0.119
2 Nd 0.175 0.581 0.619
3 Nd 0.325 0.919 0.619
4 Nd 0.419 0.675 0.119
5 Nd 0.581 0.325 0.881
6 Nd 0.675 0.081 0.381
7 Nd 0.825 0.419 0.381
8 Nd 0.919 0.175 0.881
9 Dy 0.250 0.250 0.750
10 Dy 0.750 0.750 0.250
11 Tl 0.046 0.150 0.371
12 Tl 0.150 0.454 0.129
13 Tl 0.350 0.046 0.129
14 Tl 0.454 0.350 0.371
15 Tl 0.546 0.650 0.629
16 Tl 0.650 0.954 0.871
17 Tl 0.850 0.546 0.871
18 Tl 0.954 0.850 0.629